No. 1
# PmPr3Nd6Tm2 (PBE, optimized geometry)
data_PmPr3Nd6Tm2
_chemical_formula_sum 'Pm2 Pr6 Nd12 Tm4'
_cell_length_a 6.339
_cell_length_b 10.983
_cell_length_c 12.096
_cell_angle_alpha 90.00
_cell_angle_beta 100.09
_cell_angle_gamma 90.00
_space_group_name_H-M_alt 'C 1 2/m 1'
_space_group_IT_number 12
loop_
_space_group_symop_operation_xyz
'x,y,z'
'-x,-y,-z'
'-x,y,-z'
'x,-y,z'
'x+1/2,y+1/2,z'
'-x+1/2,-y+1/2,-z'
'-x+1/2,y+1/2,-z'
'x+1/2,-y+1/2,z'
loop_
_atom_site_label
_atom_site_fract_x
_atom_site_fract_y
_atom_site_fract_z
Pm1 0.000 0.000 0.000
Pr1 0.000 0.167 0.500
Pr2 0.000 0.500 0.500
Nd1 0.248 0.500 0.245
Nd2 0.250 0.167 0.245
Tm1 0.000 0.333 0.000
# - Calculated total energy: -112.9 eV for the cell shown
# - Formation energy: 18 meV per atom

No. 2
# Ac2CuSi3Pt4 (PBE, optimized geometry)
data_Ac2CuSi3Pt4
_chemical_formula_sum 'Ac2 Cu1 Si3 Pt4'
_cell_length_a 4.408
_cell_length_b 4.408
_cell_length_c 9.997
_cell_angle_alpha 90.00
_cell_angle_beta 90.00
_cell_angle_gamma 90.00
_space_group_name_H-M_alt 'P -4 m 2'
_space_group_IT_number 115
loop_
_space_group_symop_operation_xyz
'x,y,z'
'y,-x,-z'
'-x,-y,z'
'-y,x,-z'
'-x,y,z'
'-y,-x,-z'
'x,-y,z'
'y,x,-z'
loop_
_atom_site_label
_atom_site_fract_x
_atom_site_fract_y
_atom_site_fract_z
Ac1 0.000 0.500 0.241
Cu1 0.500 0.500 0.000
Si1 0.000 0.000 0.000
Si2 0.000 0.500 0.624
Pt1 0.000 0.000 0.500
Pt2 0.000 0.500 0.869
Pt3 0.500 0.500 0.500
# - Calculated total energy: -62.4 eV for the cell shown
# - ΔE_f (raw): -0.97 eV/atom

No. 3
# CeSmTe2 (PBE, optimized geometry)
data_CeSmTe2
_chemical_formula_sum 'Ce3 Sm3 Te6'
_cell_length_a 4.3106
_cell_length_b 4.3106
_cell_length_c 23.7143
_cell_angle_alpha 90.00
_cell_angle_beta 90.00
_cell_angle_gamma 120.00
_space_group_name_H-M_alt 'R 3 m'
_space_group_IT_number 160
_space_group_name_Hall 'R 3 -2"'
loop_
_atom_site_label
_atom_site_fract_x
_atom_site_fract_y
_atom_site_fract_z
Ce1 0.0000 0.0000 0.0000
Sm1 0.0000 0.0000 0.1740
Te1 0.0000 0.0000 0.4211
Te2 0.0000 0.0000 0.5864
# - Polymorph energy (0 for the lowest one): 0.0335 eV/atom
# - Calculated total energy: -67.0 eV for the cell shown
# - ΔE_f (raw): -1.35 eV/atom

No. 4
# Sn12Ge5Au3 (PBE, optimized geometry)
data_Sn12Ge5Au3
_chemical_formula_sum 'Sn96 Ge40 Au24'
_cell_length_a 16.508
_cell_length_b 16.508
_cell_length_c 16.508
_cell_angle_alpha 90.00
_cell_angle_beta 90.00
_cell_angle_gamma 90.00
_space_group_name_H-M_alt 'I a -3 d'
_space_group_IT_number 230
_space_group_name_Hall '-I 4bd 2c 3'
loop_
_atom_site_label
_atom_site_fract_x
_atom_site_fract_y
_atom_site_fract_z
Sn1 0.021 0.081 0.652
Ge1 0.000 0.000 0.000
Ge2 0.000 0.250 0.375
Au1 0.000 0.250 0.125
# - Calculated total energy: -630.9 eV for the cell shown
# - Formation energy: 104 meV per atom

No. 5
# Pu2HRu (PBE, optimized geometry)
data_Pu2HRu
_chemical_formula_sum 'Pu6 H3 Ru3'
_cell_length_a 3.7214
_cell_length_b 3.7214
_cell_length_c 14.2140
_cell_angle_alpha 90.00
_cell_angle_beta 90.00
_cell_angle_gamma 120.00
_space_group_name_H-M_alt 'R -3 m'
_space_group_IT_number 166
_space_group_name_Hall '-R 3 2"'
loop_
_atom_site_label
_atom_site_fract_x
_atom_site_fract_y
_atom_site_fract_z
Pu1 0.0000 0.0000 0.2112
H1 0.0000 0.0000 0.5000
Ru1 0.0000 0.0000 0.0000
# - Polymorph energy (0 for the lowest one): 0.3695 eV/atom
# - Calculated total energy: -120.8 eV for the cell shown

No. 6
# LaDyCu (PBE, optimized geometry)
data_LaDyCu
_chemical_formula_sum 'La1 Dy1 Cu1'
_cell_length_a 3.7019
_cell_length_b 3.7019
_cell_length_c 7.0899
_cell_angle_alpha 90.00
_cell_angle_beta 90.00
_cell_angle_gamma 120.00
_space_group_name_H-M_alt 'P 3 m 1'
_space_group_IT_number 156
loop_
_space_group_symop_operation_xyz
'x,y,z'
'-y,x-y,z'
'-x+y,-x,z'
'-y,-x,z'
'-x+y,y,z'
'x,x-y,z'
loop_
_atom_site_label
_atom_site_fract_x
_atom_site_fract_y
_atom_site_fract_z
La1 0.0000 0.0000 0.0000
Dy1 0.3333 0.6667 0.5715
Cu1 0.6667 0.3333 0.3027
# - Polymorph energy (0 for the lowest one): 0.1404 eV/atom
# - Calculated total energy: -13.5 eV for the cell shown
# - Formation energy: 40 meV per atom

No. 7
# YZrSe (PBE, optimized geometry)
data_YZrSe
_chemical_formula_sum 'Y4 Zr4 Se4'
_cell_length_a 6.612
_cell_length_b 6.612
_cell_length_c 6.612
_cell_angle_alpha 90.00
_cell_angle_beta 90.00
_cell_angle_gamma 90.00
_space_group_name_H-M_alt 'F -4 3 m'
_space_group_IT_number 216
_space_group_name_Hall 'F -4 2 3'
loop_
_atom_site_label
_atom_site_fract_x
_atom_site_fract_y
_atom_site_fract_z
Y1 0.000 0.000 0.000
Zr1 0.000 0.000 0.500
Se1 0.250 0.250 0.750
# - Polymorph energy (0 for the lowest one): 0.4277 eV/atom
# - Calculated total energy: -80.6 eV for the cell shown
# - ΔE_f (raw): -0.55 eV/atom

No. 8
# AcYMg (PBE, optimized geometry)
data_AcYMg
_chemical_formula_sum 'Ac2 Y2 Mg2'
_cell_length_a 3.936
_cell_length_b 3.936
_cell_length_c 13.062
_cell_angle_alpha 90.00
_cell_angle_beta 90.00
_cell_angle_gamma 90.00
_space_group_name_H-M_alt 'I 4 m m'
_space_group_IT_number 107
_space_group_name_Hall 'I 4 -2'
loop_
_atom_site_label
_atom_site_fract_x
_atom_site_fract_y
_atom_site_fract_z
Ac1 0.000 0.000 0.000
Y1 0.000 0.000 0.693
Mg1 0.000 0.000 0.326
# - Polymorph energy (0 for the lowest one): 0.0000 eV/atom
# - Calculated total energy: -24.5 eV for the cell shown
# - Formation energy: -26 meV per atom

No. 9
# NaMgH2F (PBE, optimized geometry)
data_NaMgH2F
_chemical_formula_sum 'Na1 Mg1 H2 F1'
_cell_length_a 3.829
_cell_length_b 3.829
_cell_length_c 4.008
_cell_angle_alpha 90.00
_cell_angle_beta 90.00
_cell_angle_gamma 90.00
_space_group_name_H-M_alt 'P 4/m m m'
_space_group_IT_number 123
_space_group_name_Hall '-P 4 2'
loop_
_atom_site_label
_atom_site_fract_x
_atom_site_fract_y
_atom_site_fract_z
Na1 0.000 0.000 0.000
Mg1 0.500 0.500 0.500
H1 0.000 0.500 0.500
F1 0.500 0.500 0.000
# - Polymorph energy (0 for the lowest one): 0.0162 eV/atom
# - Calculated total energy: -17.4 eV for the cell shown

No. 10
# GdOF (PBE, optimized geometry)
data_GdOF
_chemical_formula_sum 'Gd2 O2 F2'
_cell_length_a 3.924
_cell_length_b 3.924
_cell_length_c 5.608
_cell_angle_alpha 90.00
_cell_angle_beta 90.00
_cell_angle_gamma 90.00
_space_group_name_H-M_alt 'P 4/n m m'
_space_group_IT_number 129
loop_
_space_group_symop_operation_xyz
'x,y,z'
'-x,-y,-z'
'-y+1/2,x,z'
'y+1/2,-x,-z'
'-x+1/2,-y+1/2,z'
'x+1/2,y+1/2,-z'
'y,-x+1/2,z'
'-y,x+1/2,-z'
'x+1/2,-y,-z'
'-x+1/2,y,z'
'-y,-x,-z'
'y,x,z'
'-x,y+1/2,-z'
'x,-y+1/2,z'
'y+1/2,x+1/2,-z'
'-y+1/2,-x+1/2,z'
loop_
_atom_site_label
_atom_site_fract_x
_atom_site_fract_y
_atom_site_fract_z
Gd1 0.250 0.250 0.212
O1 0.250 0.750 0.000
F1 0.250 0.750 0.500
# - Calculated total energy: -64.7 eV for the cell shown
# - ΔE_f (raw): -3.81 eV/atom

No. 11
# Na2Cd4Pb5 (PBE, optimized geometry)
data_Na2Cd4Pb5
_chemical_formula_sum 'Na4 Cd8 Pb10'
_cell_length_a 14.182
_cell_length_b 6.588
_cell_length_c 9.390
_cell_angle_alpha 90.00
_cell_angle_beta 131.32
_cell_angle_gamma 90.00
_space_group_name_H-M_alt 'C 1 2/m 1'
_space_group_IT_number 12
loop_
_space_group_symop_operation_xyz
'x,y,z'
'-x,-y,-z'
'-x,y,-z'
'x,-y,z'
'x+1/2,y+1/2,z'
'-x+1/2,-y+1/2,-z'
'-x+1/2,y+1/2,-z'
'x+1/2,-y+1/2,z'
loop_
_atom_site_label
_atom_site_fract_x
_atom_site_fract_y
_atom_site_fract_z
Na1 0.181 0.000 0.182
Cd1 0.249 0.500 0.080
Cd2 0.249 0.500 0.416
Pb1 0.000 0.255 0.321
Pb2 0.000 0.500 0.000
# - Calculated total energy: -49.7 eV for the cell shown
# - Formation energy: -2 meV per atom

No. 12
# Zr3BeNb (PBE, optimized geometry)
data_Zr3BeNb
_chemical_formula_sum 'Zr3 Be1 Nb1'
_cell_length_a 5.071
_cell_length_b 5.071
_cell_length_c 5.071
_cell_angle_alpha 90.00
_cell_angle_beta 90.00
_cell_angle_gamma 90.00
_space_group_name_H-M_alt 'P m -3 m'
_space_group_IT_number 221
_space_group_name_Hall '-P 4 2 3'
loop_
_atom_site_label
_atom_site_fract_x
_atom_site_fract_y
_atom_site_fract_z
Zr1 0.000 0.000 0.500
Be1 0.500 0.500 0.500
Nb1 0.000 0.000 0.000
# - Polymorph energy (0 for the lowest one): 0.7277 eV/atom
# - Calculated total energy: -33.2 eV for the cell shown
# - Formation energy: 1250 meV per atom

No. 13
# Zr5Cu (PBE, optimized geometry)
data_Zr5Cu
_chemical_formula_sum 'Zr10 Cu2'
_cell_length_a 4.767
_cell_length_b 14.485
_cell_length_c 3.694
_cell_angle_alpha 90.00
_cell_angle_beta 90.00
_cell_angle_gamma 90.00
_space_group_name_H-M_alt 'C m m m'
_space_group_IT_number 65
_space_group_name_Hall '-C 2 2'
loop_
_atom_site_label
_atom_site_fract_x
_atom_site_fract_y
_atom_site_fract_z
Zr1 0.000 0.000 0.000
Zr2 0.000 0.177 0.500
Zr3 0.000 0.352 0.000
Cu1 0.000 0.500 0.500
# - Polymorph energy (0 for the lowest one): 0.0338 eV/atom
# - Calculated total energy: -93.4 eV for the cell shown
# - Formation energy: 24 meV per atom

No. 14
# GdLuMnCu (PBE, optimized geometry)
data_GdLuMnCu
_chemical_formula_sum 'Gd4 Lu4 Mn4 Cu4'
_cell_length_a 6.955
_cell_length_b 6.955
_cell_length_c 6.955
_cell_angle_alpha 90.00
_cell_angle_beta 90.00
_cell_angle_gamma 90.00
_space_group_name_H-M_alt 'F -4 3 m'
_space_group_IT_number 216
_space_group_name_Hall 'F -4 2 3'
loop_
_atom_site_label
_atom_site_fract_x
_atom_site_fract_y
_atom_site_fract_z
Gd1 0.000 0.000 0.000
Lu1 0.000 0.000 0.500
Mn1 0.250 0.250 0.750
Cu1 0.250 0.250 0.250
# - Calculated total energy: -127.2 eV for the cell shown
# - Formation energy: 17 meV per atom

No. 15
# K3Pu2AgSe6 (PBE, optimized geometry)
data_K3Pu2AgSe6
_chemical_formula_sum 'K6 Pu4 Ag2 Se12'
_cell_length_a 7.279
_cell_length_b 12.612
_cell_length_c 8.001
_cell_angle_alpha 90.00
_cell_angle_beta 107.50
_cell_angle_gamma 90.00
_space_group_name_H-M_alt 'C 1 2/m 1'
_space_group_IT_number 12
loop_
_space_group_symop_operation_xyz
'x,y,z'
'-x,-y,-z'
'-x,y,-z'
'x,-y,z'
'x+1/2,y+1/2,z'
'-x+1/2,-y+1/2,-z'
'-x+1/2,y+1/2,-z'
'x+1/2,-y+1/2,z'
loop_
_atom_site_label
_atom_site_fract_x
_atom_site_fract_y
_atom_site_fract_z
K1 0.000 0.000 0.000
K2 0.000 0.340 0.000
Pu1 0.000 0.167 0.500
Ag1 0.000 0.500 0.500
Se1 0.222 0.000 0.701
Se2 0.242 0.326 0.705
# - Calculated total energy: -139.1 eV for the cell shown
# - ΔE_f (raw): -1.15 eV/atom

Number 1: total magnetization 0.00 μB per formula unit. Number 2: total magnetization 0.00 μB per formula unit. Number 3: total magnetization 1.15 μB per formula unit. Number 4: total magnetization 0.00 μB per formula unit. Number 5: total magnetization 0.00 μB per formula unit. Number 6: total magnetization 0.00 μB per formula unit. Number 7: total magnetization 0.00 μB per formula unit. Number 8: total magnetization 0.00 μB per formula unit. Number 9: total magnetization 0.00 μB per formula unit. Number 10: total magnetization 7.00 μB per formula unit. Number 11: total magnetization 0.00 μB per formula unit. Number 12: total magnetization 0.00 μB per formula unit. Number 13: total magnetization 0.00 μB per formula unit. Number 14: total magnetization 4.01 μB per formula unit. Number 15: total magnetization 8.00 μB per formula unit.